# 1
DFT (SCAN) results for a crystal of Li3AlF6 relaxed with PBEsol.

Crystal system: orthorhombic
Formation energy from raw total energies (meV per atom): -3452

a = 9.4679 Å, b = 8.1911 Å, c = 4.8699 Å
α = 90.00°, β = 90.00°, γ = 90.00°
Closest atoms and distances in Å follow each position.
Space group Pna2_1 (No. 33)
Unique sites:
Li1 0.1045 0.0483 0.0000  4 F 1.87-2.07
Li2 0.1252 0.6467 0.4871  5 F 1.87-2.09
Li3 0.1462 0.4522 0.9930  5 F 1.90-2.07
Al1 0.1287 0.2605 0.4951  6 F 1.80-1.84
F1 0.0122 0.4103 0.6637  1 Al 1.84, 1 Li 2.05
F2 0.0245 0.2573 0.1831  1 Al 1.81, 1 Li 1.88
F3 0.0284 0.0966 0.6434  1 Al 1.80, 2 Li 1.87-1.92
F4 0.2251 0.4354 0.3555  1 Al 1.83, 2 Li 1.92-1.99
F5 0.2370 0.2672 0.8002  1 Al 1.81, 2 Li 1.87-1.98
F6 0.2462 0.1182 0.3205  1 Al 1.82, 1 Li 1.90


# 2
DFT (SCAN) results for a crystal of KCr2Ir relaxed with PBEsol.

DFT formation energy (kJ per mole of atoms): 48
Crystal system: monoclinic
Energy above the most stable polymorph in this dataset (eV/f.u.): 0.43

a = 8.8106 Å, b = 2.8014 Å, c = 6.8941 Å
α = 90.00°, β = 100.28°, γ = 90.00°
Closest atoms and distances in Å follow each position.
Space group Cm (No. 8)
Unique sites:
K1 0.0000 0.0000 0.0000  2 K 2.80
Cr1 0.0084 0.5000 0.4805  2 Cr 2.23, 2 Ir 2.48
Cr2 0.1954 0.0000 0.6150  2 Cr 2.23, 2 Ir 2.45
Ir1 0.2790 0.5000 0.3617  5 Cr 2.45-2.66